{
  "formula": "ZnPd3",
  "functional": "GGA-PBEsol",
  "state": "relaxed",
  "cell": [[3.833, 0.000, 0.000], [0.000, 3.833, 0.000], [0.000, 0.000, 15.388]],
  "species": ["Zn", "Zn", "Zn", "Zn", "Pd", "Pd", "Pd", "Pd", "Pd", "Pd", "Pd", "Pd", "Pd", "Pd", "Pd", "Pd"],
  "fractional_positions": [[0.000, 0.000, 0.124], [0.000, 0.000, 0.876], [0.500, 0.500, 0.376], [0.500, 0.500, 0.624], [0.000, 0.000, 0.374], [0.000, 0.000, 0.626], [0.000, 0.500, 0.000], [0.000, 0.500, 0.250], [0.000, 0.500, 0.500], [0.000, 0.500, 0.750], [0.500, 0.000, 0.000], [0.500, 0.000, 0.250], [0.500, 0.000, 0.500], [0.500, 0.000, 0.750], [0.500, 0.500, 0.126], [0.500, 0.500, 0.874]],
  "space_group": "I4/mmm, No. 139"
}

---

{
  "formula": "ZrZn2Pd2",
  "functional": "GGA-PBEsol",
  "state": "relaxed",
  "cell": [[7.348, 0.000, 0.000], [0.000, 7.348, 0.000], [0.000, 0.000, 2.837]],
  "species": ["Zr", "Zr", "Zn", "Zn", "Zn", "Zn", "Pd", "Pd", "Pd", "Pd"],
  "fractional_positions": [[0.000, 0.000, 0.000], [0.500, 0.500, 0.000], [0.119, 0.381, 0.000], [0.381, 0.881, 0.000], [0.619, 0.119, 0.000], [0.881, 0.619, 0.000], [0.179, 0.679, 0.500], [0.321, 0.179, 0.500], [0.679, 0.821, 0.500], [0.821, 0.321, 0.500]],
  "space_group": "P4/mbm, No. 127"
}

---

{
  "formula": "ZrZnPd",
  "functional": "GGA-PBEsol",
  "state": "relaxed",
  "cell": [[4.282, 0.000, 0.000], [0.000, 8.969, 0.000], [0.000, 0.000, 5.249]],
  "species": ["Zr", "Zr", "Zr", "Zr", "Zn", "Zn", "Zn", "Zn", "Pd", "Pd", "Pd", "Pd"],
  "fractional_positions": [[0.000, 0.201, 0.250], [0.000, 0.799, 0.750], [0.500, 0.299, 0.750], [0.500, 0.701, 0.250], [0.000, 0.500, 0.000], [0.000, 0.500, 0.500], [0.500, 0.000, 0.000], [0.500, 0.000, 0.500], [0.000, 0.107, 0.750], [0.000, 0.893, 0.250], [0.500, 0.393, 0.250], [0.500, 0.607, 0.750]],
  "space_group": "Cmcm, No. 63"
}

---

{
  "formula": "Zr9Pd11",
  "functional": "GGA-PBEsol",
  "state": "relaxed",
  "cell": [[-5.140, 5.140, 3.377], [5.140, -5.140, 3.377], [5.140, 5.140, -3.377]],
  "species": ["Zr", "Zr", "Zr", "Zr", "Zr", "Zr", "Zr", "Zr", "Zr", "Pd", "Pd", "Pd", "Pd", "Pd", "Pd", "Pd", "Pd", "Pd", "Pd", "Pd"],
  "fractional_positions": [[0.000, 0.000, 0.000], [0.095, 0.307, 0.402], [0.242, 0.582, 0.825], [0.307, 0.905, 0.213], [0.418, 0.242, 0.660], [0.582, 0.758, 0.340], [0.693, 0.095, 0.787], [0.758, 0.418, 0.175], [0.905, 0.693, 0.598], [0.013, 0.902, 0.338], [0.098, 0.436, 0.111], [0.250, 0.750, 0.500], [0.326, 0.987, 0.889], [0.436, 0.326, 0.338], [0.500, 0.500, 0.000], [0.564, 0.674, 0.662], [0.674, 0.013, 0.111], [0.750, 0.250, 0.500], [0.902, 0.564, 0.889], [0.987, 0.098, 0.662]],
  "space_group": "I4/m, No. 87"
}

---

{
  "formula": "ZrPd2",
  "functional": "GGA-PBEsol",
  "state": "relaxed",
  "cell": [[3.409, 0.000, 0.000], [0.000, 3.409, 0.000], [0.000, 0.000, 8.609]],
  "species": ["Zr", "Zr", "Pd", "Pd", "Pd", "Pd"],
  "fractional_positions": [[0.000, 0.000, 0.000], [0.500, 0.500, 0.500], [0.000, 0.000, 0.337], [0.000, 0.000, 0.663], [0.500, 0.500, 0.163], [0.500, 0.500, 0.837]],
  "space_group": "I4/mmm, No. 139"
}

---

{
  "formula": "Zr3Pd4",
  "functional": "GGA-PBEsol",
  "state": "relaxed",
  "cell": [[6.223, 3.593, 1.832], [-6.223, 3.593, 1.832], [0.000, -7.185, 1.832]],
  "species": ["Zr", "Zr", "Zr", "Zr", "Zr", "Zr", "Pd", "Pd", "Pd", "Pd", "Pd", "Pd", "Pd", "Pd"],
  "fractional_positions": [[0.007, 0.397, 0.267], [0.267, 0.007, 0.397], [0.397, 0.267, 0.007], [0.603, 0.733, 0.993], [0.733, 0.993, 0.603], [0.993, 0.603, 0.733], [0.000, 0.000, 0.000], [0.077, 0.237, 0.561], [0.237, 0.561, 0.077], [0.439, 0.923, 0.763], [0.500, 0.500, 0.500], [0.561, 0.077, 0.237], [0.763, 0.439, 0.923], [0.923, 0.763, 0.439]],
  "space_group": "R-3, No. 148"
}

---

{
  "formula": "Pm",
  "functional": "GGA-PBEsol",
  "state": "relaxed",
  "cell": [[3.593, 0.000, 0.000], [-1.796, 3.112, 0.000], [0.000, 0.000, 25.926]],
  "species": ["Pm", "Pm", "Pm", "Pm", "Pm", "Pm", "Pm", "Pm", "Pm"],
  "fractional_positions": [[0.000, 0.000, 0.000], [0.000, 0.000, 0.223], [0.000, 0.000, 0.777], [0.333, 0.667, 0.444], [0.333, 0.667, 0.667], [0.333, 0.667, 0.889], [0.667, 0.333, 0.111], [0.667, 0.333, 0.333], [0.667, 0.333, 0.556]],
  "relative_energy_mev_per_atom": 5,
  "space_group": "R-3m, No. 166"
}

---

{
  "formula": "Pm",
  "functional": "GGA-PBEsol",
  "state": "relaxed",
  "cell": [[5.046, 0.000, 0.000], [0.000, 5.046, 0.000], [0.000, 0.000, 5.046]],
  "species": ["Pm", "Pm", "Pm", "Pm"],
  "fractional_positions": [[0.000, 0.000, 0.000], [0.000, 0.500, 0.500], [0.500, 0.000, 0.500], [0.500, 0.500, 0.000]],
  "relative_energy_mev_per_atom": 8,
  "space_group": "Fm-3m, No. 225"
}

---

no.,Fermi-level density of states (states/eV per cell),uncorrected energy (eV/atom)
1,18.1,-5.19
2,6.3,-5.35
3,7.6,-6.13
4,14.7,-8.02
5,3.8,-7.77
6,8.7,-8.01
7,11.3,-5.13
8,6.2,-5.13